[1]
Here is In2GaI3 after structural relaxation from Alexandria via LeMat-Bulk. Energies are from PBE.

Values from the calculation:
Raw formation energy ... -0.380 eV/atom
DOS(E_F) ... 0.000 states/eV/atom
Magnetization ... 0.000 μB per atom
ΔE to the lowest computed polymorph ... 33 meV per atom

Cell lengths 7.6970, 7.6970, 8.7565 Å; angles 90.00, 90.00, 68.79 degrees
Element x y z (fractional)
In: 0.0201 0.6825 0.7500
In: 0.3175 0.9799 0.7500
In: 0.6825 0.0201 0.2500
In: 0.9799 0.3175 0.2500
Ga: 0.4918 0.5082 0.2500
Ga: 0.5082 0.4918 0.7500
I: 0.1529 0.8471 0.2500
I: 0.3070 0.3070 0.0000
I: 0.3070 0.3070 0.5000
I: 0.6930 0.6930 0.0000
I: 0.6930 0.6930 0.5000
I: 0.8471 0.1529 0.7500


[2]
Here is InGaI after structural relaxation from Alexandria via LeMat-Bulk. Energies are from PBE.

Values from the calculation:
Raw formation energy ... -0.155 eV/atom
DOS(E_F) ... 0.292 states/eV/atom
Magnetization ... 0.000 μB per atom

Cell lengths 4.1921, 6.5881, 7.5882 Å; angles 91.13, 92.15, 108.31 degrees
Element x y z (fractional)
In: 0.0000 0.0000 0.0000
In: 0.4506 0.8843 0.6972
Ga: 0.4278 0.8481 0.2318
Ga: 0.8837 0.7463 0.4397
I: 0.2295 0.4805 0.9694
I: 0.6735 0.2998 0.4513


[3]
Here is In3GaI6 after structural relaxation from Alexandria via LeMat-Bulk. Energies are from PBE.

Values from the calculation:
Raw formation energy ... -0.467 eV/atom
DOS(E_F) ... 0.000 states/eV/atom
Magnetization ... 0.000 μB per atom

Cell lengths 10.8669, 10.8669, 8.3863 Å; angles 90.00, 90.00, 103.85 degrees
Element x y z (fractional)
In: 0.0874 0.9126 0.5000
In: 0.2149 0.3941 0.5730
In: 0.3941 0.2149 0.0730
In: 0.6059 0.7851 0.5730
In: 0.7851 0.6059 0.0730
In: 0.9126 0.0874 0.0000
Ga: 0.3058 0.6942 0.1522
Ga: 0.6942 0.3058 0.6522
I: 0.0830 0.5995 0.2734
I: 0.1361 0.1890 0.2910
I: 0.1890 0.1361 0.7910
I: 0.2958 0.7042 0.8463
I: 0.4005 0.9170 0.2734
I: 0.4522 0.5478 0.2431
I: 0.5478 0.4522 0.7431
I: 0.5995 0.0830 0.7734
I: 0.7042 0.2958 0.3463
I: 0.8110 0.8639 0.2910
I: 0.8639 0.8110 0.7910
I: 0.9170 0.4005 0.7734


[4]
Here is In2GaI after structural relaxation from Alexandria via LeMat-Bulk. Energies are from PBE.

Values from the calculation:
Raw formation energy ... -0.029 eV/atom
DOS(E_F) ... 0.406 states/eV/atom
Magnetization ... 0.000 μB per atom
ΔE to the lowest computed polymorph ... 14 meV per atom

Cell lengths 4.4389, 4.4389, 25.1605 Å; angles 90.00, 90.00, 120.00 degrees
Element x y z (fractional)
In: 0.0000 0.0000 0.1166
In: 0.0000 0.0000 0.8834
In: 0.3333 0.6667 0.5501
In: 0.3333 0.6667 0.7833
In: 0.6667 0.3333 0.2167
In: 0.6667 0.3333 0.4499
Ga: 0.0000 0.0000 0.5000
Ga: 0.3333 0.6667 0.1667
Ga: 0.6667 0.3333 0.8333
I: 0.0000 0.0000 0.0000
I: 0.3333 0.6667 0.6667
I: 0.6667 0.3333 0.3333


[5]
Here is InGa6I12 after structural relaxation from Alexandria via LeMat-Bulk. Energies are from PBE.

Values from the calculation:
Raw formation energy ... -0.302 eV/atom
DOS(E_F) ... 0.349 states/eV/atom
Magnetization ... 0.000 μB per atom

Cell lengths 10.3500, 10.3500, 10.3500 Å; angles 109.19, 109.19, 109.19 degrees
Element x y z (fractional)
In: 0.0000 0.0000 0.0000
Ga: 0.3241 0.3552 0.5186
Ga: 0.3552 0.5186 0.3241
Ga: 0.4814 0.6759 0.6448
Ga: 0.5186 0.3241 0.3552
Ga: 0.6448 0.4814 0.6759
Ga: 0.6759 0.6448 0.4814
I: 0.0162 0.1649 0.3275
I: 0.1649 0.3275 0.0162
I: 0.2224 0.6887 0.4177
I: 0.3113 0.5823 0.7776
I: 0.3275 0.0162 0.1649
I: 0.4177 0.2224 0.6887
I: 0.5823 0.7776 0.3113
I: 0.6725 0.9838 0.8351
I: 0.6887 0.4177 0.2224
I: 0.7776 0.3113 0.5823
I: 0.8351 0.6725 0.9838
I: 0.9838 0.8351 0.6725


[6]
Here is InGaI after structural relaxation from Alexandria via LeMat-Bulk. Energies are from PBE.

Values from the calculation:
Raw formation energy ... 0.076 eV/atom
DOS(E_F) ... 0.386 states/eV/atom
Magnetization ... 0.000 μB per atom

Cell lengths 3.7049, 3.7049, 15.9807 Å; angles 90.00, 90.00, 90.00 degrees
Element x y z (fractional)
In: 0.0000 0.0000 0.0000
In: 0.5000 0.5000 0.5000
Ga: 0.0000 0.0000 0.1843
Ga: 0.5000 0.5000 0.6843
I: 0.0000 0.0000 0.7896
I: 0.5000 0.5000 0.2896


[7]
Here is In5GaI8 after structural relaxation from Alexandria via LeMat-Bulk. Energies are from PBE.

Values from the calculation:
Raw formation energy ... -0.420 eV/atom
Magnetization ... 0.000 μB per atom

Cell lengths 9.8639, 9.8639, 9.8639 Å; angles 105.64, 105.64, 117.44 degrees
Element x y z (fractional)
In: 0.0000 0.0000 0.0000
In: 0.0941 0.1235 0.4679
In: 0.3738 0.9059 0.0294
In: 0.6556 0.6262 0.5321
In: 0.8765 0.3444 0.9706
Ga: 0.2500 0.7500 0.5000
I: 0.2931 0.5747 0.6415
I: 0.3484 0.7069 0.2816
I: 0.4029 0.2168 0.2901
I: 0.4253 0.0668 0.7184
I: 0.7832 0.0733 0.1862
I: 0.8871 0.5971 0.8138
I: 0.9267 0.1129 0.7099
I: 0.9332 0.6516 0.3585


[8]
Here is InGaI after structural relaxation from Alexandria via LeMat-Bulk. Energies are from PBE.

Values from the calculation:
Raw formation energy ... -0.023 eV/atom
DOS(E_F) ... 0.810 states/eV/atom
Magnetization ... 0.000 μB per atom

Cell lengths 4.8369, 4.8369, 4.8847 Å; angles 90.00, 90.00, 120.00 degrees
Element x y z (fractional)
In: 0.0000 0.0000 0.0000
Ga: 0.3333 0.6667 0.0132
I: 0.6667 0.3333 0.5063


Question: Which of these has the lowest raw formation energy?
Answer: In3GaI6


Question: Look up the magnetization of the second one.
Answer: 0.000 μB per atom